Record 1
# CoIrAu2, relaxed, DFT PBE
# Calculated density   15.815 g/cm³
# Energy above the lowest structure with this stoichiometry   54.8 kJ/mol of atoms
# Final energy   -78.3 eV per cell
data_CoIrAu2
_symmetry_space_group_name_H-M 'I -4 2 d'
_symmetry_Int_Tables_number 122
_symmetry_space_group_name_Hall 'I -4 2bw'
_cell_length_a 7.1753
_cell_length_b 7.1753
_cell_length_c 5.2625
_cell_angle_alpha 90.00
_cell_angle_beta 90.00
_cell_angle_gamma 90.00
loop_
_atom_site_label
_atom_site_type_symbol
_atom_site_fract_x
_atom_site_fract_y
_atom_site_fract_z
Co1 Co 0.0000 0.0000 0.0000
Ir1 Ir 0.0000 0.0000 0.5000
Au1 Au 0.2329 0.2500 0.1250

Record 2
# CoIrAu2, relaxed, DFT PBE
# Calculated density   17.226 g/cm³
# Energy above the lowest structure with this stoichiometry   21.8 kJ/mol of atoms
# Final energy   -20.9 eV per cell
data_CoIrAu2
_symmetry_space_group_name_H-M 'P m m m'
_symmetry_Int_Tables_number 47
_cell_length_a 2.7798
_cell_length_b 3.9793
_cell_length_c 5.6217
_cell_angle_alpha 90.00
_cell_angle_beta 90.00
_cell_angle_gamma 90.00
loop_
_symmetry_equiv_pos_as_xyz
'x,y,z'
'-x,-y,-z'
'-x,-y,z'
'x,y,-z'
'x,-y,-z'
'-x,y,z'
'-x,y,-z'
'x,-y,z'
loop_
_atom_site_label
_atom_site_type_symbol
_atom_site_fract_x
_atom_site_fract_y
_atom_site_fract_z
Co1 Co 0.0000 0.0000 0.0000
Ir1 Ir 0.0000 0.0000 0.5000
Au1 Au 0.5000 0.5000 0.2437

Record 3
# CoIrAu2, relaxed, DFT PBE
# Calculated density   16.790 g/cm³
# Energy above the lowest structure with this stoichiometry   10.1 kJ/mol of atoms
# Final energy   -42.8 eV per cell
data_CoIrAu2
_symmetry_space_group_name_H-M 'C m m 2'
_symmetry_Int_Tables_number 35
_cell_length_a 2.8025
_cell_length_b 4.7554
_cell_length_c 9.5745
_cell_angle_alpha 90.00
_cell_angle_beta 90.00
_cell_angle_gamma 90.00
loop_
_symmetry_equiv_pos_as_xyz
'x,y,z'
'-x,-y,z'
'-x,y,z'
'x,-y,z'
'x+1/2,y+1/2,z'
'-x+1/2,-y+1/2,z'
'-x+1/2,y+1/2,z'
'x+1/2,-y+1/2,z'
loop_
_atom_site_label
_atom_site_type_symbol
_atom_site_fract_x
_atom_site_fract_y
_atom_site_fract_z
Co1 Co 0.0000 0.0000 0.0000
Ir1 Ir 0.0000 0.5000 0.2130
Au1 Au 0.0000 0.0000 0.4800
Au2 Au 0.0000 0.5000 0.7574

Record 4
# CoIrAu2, relaxed, DFT PBE
# Calculated density   17.254 g/cm³
# Energy above the lowest structure with this stoichiometry   17.4 kJ/mol of atoms
# Final energy   -42.2 eV per cell
data_CoIrAu2
_symmetry_space_group_name_H-M 'I -4 m 2'
_symmetry_Int_Tables_number 119
_symmetry_space_group_name_Hall 'I -4 -2'
_cell_length_a 3.9604
_cell_length_b 3.9604
_cell_length_c 7.9162
_cell_angle_alpha 90.00
_cell_angle_beta 90.00
_cell_angle_gamma 90.00
loop_
_atom_site_label
_atom_site_type_symbol
_atom_site_fract_x
_atom_site_fract_y
_atom_site_fract_z
Co1 Co 0.0000 0.0000 0.0000
Ir1 Ir 0.0000 0.5000 0.7500
Au1 Au 0.0000 0.0000 0.5000
Au2 Au 0.0000 0.5000 0.2500

Record 5
# Co2IrAu, relaxed, DFT PBE
# Calculated density   15.242 g/cm³
# Energy above the lowest structure with this stoichiometry   5.4 kJ/mol of atoms
# Final energy   -50.9 eV per cell
data_Co2IrAu
_symmetry_space_group_name_H-M 'A m m 2'
_symmetry_Int_Tables_number 38
_cell_length_a 4.0704
_cell_length_b 2.7164
_cell_length_c 9.9924
_cell_angle_alpha 90.00
_cell_angle_beta 90.00
_cell_angle_gamma 90.00
loop_
_symmetry_equiv_pos_as_xyz
'x,y,z'
'-x,-y,z'
'-x,y,z'
'x,-y,z'
'x,y+1/2,z+1/2'
'-x,-y+1/2,z+1/2'
'-x,y+1/2,z+1/2'
'x,-y+1/2,z+1/2'
loop_
_atom_site_label
_atom_site_type_symbol
_atom_site_fract_x
_atom_site_fract_y
_atom_site_fract_z
Co1 Co 0.0000 0.0000 0.0000
Co2 Co 0.5000 0.0000 0.1259
Ir1 Ir 0.0000 0.0000 0.7234
Au1 Au 0.5000 0.0000 0.3864

Record 6
# Co2IrAu, relaxed, DFT PBE
# Calculated density   15.265 g/cm³
# Energy above the lowest structure with this stoichiometry   6.8 kJ/mol of atoms
# Final energy   -25.4 eV per cell
data_Co2IrAu
_symmetry_space_group_name_H-M 'P 4/m m m'
_symmetry_Int_Tables_number 123
_symmetry_space_group_name_Hall '-P 4 2'
_cell_length_a 3.8726
_cell_length_b 3.8726
_cell_length_c 3.6778
_cell_angle_alpha 90.00
_cell_angle_beta 90.00
_cell_angle_gamma 90.00
loop_
_atom_site_label
_atom_site_type_symbol
_atom_site_fract_x
_atom_site_fract_y
_atom_site_fract_z
Co1 Co 0.0000 0.5000 0.0000
Ir1 Ir 0.0000 0.0000 0.5000
Au1 Au 0.5000 0.5000 0.5000

Record 7
# CoIrAu2, relaxed, DFT PBE
# Calculated density   17.228 g/cm³
# Energy above the lowest structure with this stoichiometry   19.0 kJ/mol of atoms
# Final energy   -42.1 eV per cell
data_CoIrAu2
_symmetry_space_group_name_H-M 'C m m m'
_symmetry_Int_Tables_number 65
_symmetry_space_group_name_Hall '-C 2 2'
_cell_length_a 5.5735
_cell_length_b 7.8984
_cell_length_c 2.8249
_cell_angle_alpha 90.00
_cell_angle_beta 90.00
_cell_angle_gamma 90.00
loop_
_atom_site_label
_atom_site_type_symbol
_atom_site_fract_x
_atom_site_fract_y
_atom_site_fract_z
Co1 Co 0.0000 0.0000 0.0000
Ir1 Ir 0.0000 0.5000 0.0000
Au1 Au 0.2500 0.2500 0.5000

Record 8
# Co2IrAu, relaxed, DFT PBE
# Calculated density   15.354 g/cm³
# Energy above the lowest structure with this stoichiometry   4.3 kJ/mol of atoms
# Final energy   -51.0 eV per cell
data_Co2IrAu
_symmetry_space_group_name_H-M 'C m m m'
_symmetry_Int_Tables_number 65
_symmetry_space_group_name_Hall '-C 2 2'
_cell_length_a 5.4748
_cell_length_b 7.3546
_cell_length_c 2.7238
_cell_angle_alpha 90.00
_cell_angle_beta 90.00
_cell_angle_gamma 90.00
loop_
_atom_site_label
_atom_site_type_symbol
_atom_site_fract_x
_atom_site_fract_y
_atom_site_fract_z
Co1 Co 0.2500 0.2500 0.0000
Ir1 Ir 0.0000 0.0000 0.5000
Au1 Au 0.0000 0.5000 0.5000

Record 9
# CoIrAu, relaxed, DFT PBE
# Calculated density   16.822 g/cm³
# Energy above the lowest structure with this stoichiometry   0.0 kJ/mol of atoms
# Final energy   -37.6 eV per cell
data_CoIrAu
_symmetry_space_group_name_H-M 'P m m n'
_symmetry_Int_Tables_number 59
_cell_length_a 2.7561
_cell_length_b 3.7102
_cell_length_c 8.6515
_cell_angle_alpha 90.00
_cell_angle_beta 90.00
_cell_angle_gamma 90.00
loop_
_symmetry_equiv_pos_as_xyz
'x,y,z'
'-x,-y,-z'
'-x+1/2,-y+1/2,z'
'x+1/2,y+1/2,-z'
'x+1/2,-y,-z'
'-x+1/2,y,z'
'-x,y+1/2,-z'
'x,-y+1/2,z'
loop_
_atom_site_label
_atom_site_type_symbol
_atom_site_fract_x
_atom_site_fract_y
_atom_site_fract_z
Co1 Co 0.2500 0.2500 0.2211
Ir1 Ir 0.2500 0.2500 0.9219
Au1 Au 0.2500 0.2500 0.6015

Record 10
# Co2IrAu, relaxed, DFT PBE
# Calculated density   14.974 g/cm³
# Energy above the lowest structure with this stoichiometry   8.4 kJ/mol of atoms
# Final energy   -50.7 eV per cell
data_Co2IrAu
_symmetry_space_group_name_H-M 'C 1 2/m 1'
_symmetry_Int_Tables_number 12
_cell_length_a 8.7393
_cell_length_b 2.7551
_cell_length_c 4.7500
_cell_angle_alpha 90.00
_cell_angle_beta 100.48
_cell_angle_gamma 90.00
loop_
_symmetry_equiv_pos_as_xyz
'x,y,z'
'-x,-y,-z'
'-x,y,-z'
'x,-y,z'
'x+1/2,y+1/2,z'
'-x+1/2,-y+1/2,-z'
'-x+1/2,y+1/2,-z'
'x+1/2,-y+1/2,z'
loop_
_atom_site_label
_atom_site_type_symbol
_atom_site_fract_x
_atom_site_fract_y
_atom_site_fract_z
Co1 Co 0.2446 0.0000 0.2163
Ir1 Ir 0.0000 0.5000 0.0000
Au1 Au 0.0000 0.0000 0.5000

Record 11
# CoIrAu, relaxed, DFT PBE
# Calculated density   14.987 g/cm³
# Energy above the lowest structure with this stoichiometry   38.9 kJ/mol of atoms
# Final energy   -70.3 eV per cell
data_CoIrAu
_symmetry_space_group_name_H-M 'F -4 3 m'
_symmetry_Int_Tables_number 216
_symmetry_space_group_name_Hall 'F -4 2 3'
_cell_length_a 5.8344
_cell_length_b 5.8344
_cell_length_c 5.8344
_cell_angle_alpha 90.00
_cell_angle_beta 90.00
_cell_angle_gamma 90.00
loop_
_atom_site_label
_atom_site_type_symbol
_atom_site_fract_x
_atom_site_fract_y
_atom_site_fract_z
Co1 Co 0.0000 0.0000 0.0000
Ir1 Ir 0.2500 0.2500 0.2500
Au1 Au 0.2500 0.2500 0.7500

Record 12
# La6CoIrAu2, relaxed, DFT PBE
# Calculated density   8.152 g/cm³
# Final energy   -115.1 eV per cell
data_La6CoIrAu2
_symmetry_space_group_name_H-M 'P 1 21/c 1'
_symmetry_Int_Tables_number 14
_cell_length_a 7.1151
_cell_length_b 7.8456
_cell_length_c 12.8382
_cell_angle_alpha 90.00
_cell_angle_beta 122.81
_cell_angle_gamma 90.00
loop_
_symmetry_equiv_pos_as_xyz
'x,y,z'
'-x,-y,-z'
'-x,y+1/2,-z+1/2'
'x,-y+1/2,z+1/2'
loop_
_atom_site_label
_atom_site_type_symbol
_atom_site_fract_x
_atom_site_fract_y
_atom_site_fract_z
La1 La 0.1104 0.1888 0.4344
La2 La 0.2506 0.6789 0.4358
La3 La 0.3825 0.0302 0.2473
Co1 Co 0.0000 0.0000 0.0000
Ir1 Ir 0.5000 0.0000 0.5000
Au1 Au 0.1959 0.1068 0.7455